[1]
Below is a geometry-optimized Mg7Si4 structure, with properties calculated at the GGA-PBE level.

Uncorrected formation energy: 0.0367 eV/atom
Density: 2.104 g cm⁻³
Fermi-level density of states: 6.2 states/eV/cell
Distance to the lowest polymorph of the same formula: 20.6 meV/atom
Total energy: -0.2168 Ry/atom

Cell lengths 5.608, 6.146, 13.379 Å; angles 95.72, 95.67, 101.70 degrees
Atoms (fractional coordinates):
Mg 0.000 0.000 0.000
Mg 0.011 0.726 0.745
Mg 0.176 0.272 0.821
Mg 0.223 0.957 0.580
Mg 0.293 0.804 0.189
Mg 0.397 0.322 0.250
Mg 0.501 0.478 0.658
Mg 0.516 0.717 0.432
Mg 0.537 0.100 0.042
Mg 0.584 0.995 0.805
Mg 0.656 0.242 0.458
Mg 0.743 0.503 0.911
Mg 0.829 0.047 0.248
Mg 0.943 0.569 0.332
Si 0.179 0.350 0.475
Si 0.203 0.995 0.378
Si 0.274 0.726 0.919
Si 0.315 0.449 0.032
Si 0.719 0.667 0.112
Si 0.737 0.936 0.620
Si 0.961 0.322 0.632
Si 0.971 0.391 0.133

[2]
Below is a geometry-optimized LiHo2Bi structure, with properties calculated at the GGA-PBE level.

Density: 7.569 g cm⁻³
Fermi-level density of states: 3.7 states/eV/cell
Distance to the lowest polymorph of the same formula: 487.6 meV/atom
Total energy: -0.2651 Ry/atom

Cell lengths 11.697, 11.697, 11.697 Å; angles 17.03, 17.03, 17.03 degrees
Atoms (fractional coordinates):
Li 0.000 0.000 0.000
Ho 0.409 0.409 0.409
Ho 0.591 0.591 0.591
Bi 0.500 0.500 0.500

[3]
Below is a geometry-optimized BeTc2Te structure, with properties calculated at the GGA-PBE level.

Uncorrected formation energy: 0.3017 eV/atom
Density: 9.028 g cm⁻³
Fermi-level density of states: 3.6 states/eV/cell
Distance to the lowest polymorph of the same formula: 169.0 meV/atom
Total energy: -0.4850 Ry/atom

Cell lengths 6.825, 6.825, 6.825 Å; angles 27.83, 27.83, 27.83 degrees
Atoms (fractional coordinates):
Be 0.000 0.000 0.000
Tc 0.273 0.273 0.273
Tc 0.727 0.727 0.727
Te 0.500 0.500 0.500

[4]
Below is a geometry-optimized Ta2AgPtO structure, with properties calculated at the GGA-PBE level.

Uncorrected formation energy: 1.3938 eV/atom
Density: 12.041 g cm⁻³
Fermi-level density of states: 4.7 states/eV/cell
Total energy: -0.4496 Ry/atom

Cell lengths 5.031, 5.031, 3.709 Å; angles 90.00, 90.00, 90.00 degrees
Atoms (fractional coordinates):
Ta 0.000 0.500 0.000
Ta 0.500 0.000 0.000
Ag 0.000 0.000 0.000
Pt 0.500 0.500 0.500
O 0.000 0.000 0.500

[5]
Below is a geometry-optimized TbCdNiRh structure, with properties calculated at the GGA-PBE level.

Density: 9.994 g cm⁻³
Fermi-level density of states: 2.7 states/eV/cell
Total energy: -0.3714 Ry/atom

Cell lengths 4.668, 4.668, 4.668 Å; angles 60.00, 60.00, 60.00 degrees
Atoms (fractional coordinates):
Tb 0.000 0.000 0.000
Cd 0.500 0.500 0.500
Ni 0.250 0.250 0.250
Rh 0.750 0.750 0.750

[6]
Below is a geometry-optimized AcNbRh2 structure, with properties calculated at the GGA-PBE level.

Density: 10.598 g cm⁻³
Fermi-level density of states: 3.7 states/eV/cell
Distance to the lowest polymorph of the same formula: 75.3 meV/atom
Total energy: -0.5541 Ry/atom

Cell lengths 3.306, 3.306, 7.538 Å; angles 90.00, 90.00, 90.00 degrees
Atoms (fractional coordinates):
Ac 0.000 0.000 0.000
Nb 0.000 0.000 0.500
Rh 0.500 0.500 0.311
Rh 0.500 0.500 0.689